# 1
Below is a geometry-optimized NaBi6 structure, with properties calculated at the PBE level.

For the spin magnetization, the calculation gives 0.0 μB per cell. The calculation puts the formation energy at 204 meV per atom.

The space group is Im-3m (No. 229) and the conventional cell measures 8.8758, 8.8758 and 8.8758 Å, with angles of 90.00, 90.00 and 90.00 degrees. Symmetry generates all atoms from Na at (0.0000, 0.0000, 0.0000) and Bi at (0.0000, 0.2500, 0.5000).

# 2
Below is a geometry-optimized LaPr5Hg structure, with properties calculated at the PBE level.

For the spin magnetization, the calculation gives 0.0 μB per cell. The calculation puts the formation energy at -42 meV per atom.

The space group is C2/c (No. 15) and the conventional cell measures 8.9654, 8.6563 and 12.7328 Å, with angles of 90.00, 102.55 and 90.00 degrees. Symmetry generates all atoms from La at (0.0000, 0.0293, 0.2500), Pr at (0.0000, 0.3623, 0.7500), Pr at (0.1468, 0.3628, 0.0655), Pr at (0.2162, 0.3253, 0.3660) and Hg at (0.0000, 0.0000, 0.0000).

# 3
Below is a geometry-optimized MnTe3Pd structure, with properties calculated at the PBE level.

For the formation energy (no corrections), the calculation gives 308 kJ/mol of formula units. For the spin magnetization, the calculation gives 0.0 μB per cell. The energy above the most stable polymorph in this dataset is 0.827 eV/atom.

The space group is Pm-3m (No. 221) and the conventional cell measures 4.9705, 4.9705 and 4.9705 Å, with angles of 90.00, 90.00 and 90.00 degrees. Symmetry generates all atoms from Mn at (0.0000, 0.0000, 0.0000), Te at (0.0000, 0.0000, 0.5000) and Pd at (0.5000, 0.5000, 0.5000).

# 4
Below is a geometry-optimized TiTcPt2 structure, with properties calculated at the PBE level.

For the spin magnetization, the calculation gives 0.4 μB per cell. The energy above the most stable polymorph in this dataset is 0.000 eV/atom. The calculation puts the formation energy at -644 meV per atom.

The space group is P4/mmm (No. 123) and the conventional cell measures 3.8615, 3.8615 and 4.0424 Å, with angles of 90.00, 90.00 and 90.00 degrees. Symmetry generates all atoms from Ti at (0.0000, 0.0000, 0.0000), Tc at (0.5000, 0.5000, 0.0000) and Pt at (0.0000, 0.5000, 0.5000).

# 5
Below is a geometry-optimized CoHgTeAs2 structure, with properties calculated at the PBE level.

For the formation energy (no corrections), the calculation gives 144 kJ/mol of formula units. For the spin magnetization, the calculation gives 0.0 μB per cell.

The space group is P4/mmm (No. 123) and the conventional cell measures 4.5769, 4.5769 and 5.2110 Å, with angles of 90.00, 90.00 and 90.00 degrees. Symmetry generates all atoms from Co at (0.0000, 0.0000, 0.0000), Hg at (0.0000, 0.0000, 0.5000), Te at (0.5000, 0.5000, 0.5000) and As at (0.0000, 0.5000, 0.0000).

# 6
Below is a geometry-optimized Tb8Pd2Pt structure, with properties calculated at the PBE level.

For the spin magnetization, the calculation gives 0.0 μB per cell. The energy above the most stable polymorph in this dataset is 0.000 eV/atom. The calculation puts the formation energy at -543 meV per atom.

The space group is C2/m (No. 12) and the conventional cell measures 17.5986, 5.0939 and 6.7371 Å, with angles of 90.00, 104.34 and 90.00 degrees. Symmetry generates all atoms from Tb at (0.0326, 0.0000, 0.2849), Tb at (0.0891, 0.5000, 0.9480), Tb at (0.1664, 0.5000, 0.4820), Tb at (0.2046, 0.0000, 0.8312), Pd at (0.1866, 0.0000, 0.2363) and Pt at (0.0000, 0.5000, 0.5000).

# 7
Below is a geometry-optimized RbNbZn2Cl structure, with properties calculated at the PBE level.

For the formation energy (no corrections), the calculation gives 548 kJ/mol of formula units. For the spin magnetization, the calculation gives 5.0 μB per cell.

The space group is P4/mmm (No. 123) and the conventional cell measures 6.6741, 6.6741 and 5.8566 Å, with angles of 90.00, 90.00 and 90.00 degrees. Symmetry generates all atoms from Rb at (0.0000, 0.0000, 0.0000), Nb at (0.5000, 0.5000, 0.5000), Zn at (0.0000, 0.5000, 0.0000) and Cl at (0.0000, 0.0000, 0.5000).

# 8
Below is a geometry-optimized Nd5Al2Ga5 structure, with properties calculated at the PBE level.

For the spin magnetization, the calculation gives 0.0 μB per cell. The calculation puts the formation energy at -516 meV per atom.

The space group is C2/m (No. 12) and the conventional cell measures 15.5187, 4.2160 and 11.6102 Å, with angles of 90.00, 128.05 and 90.00 degrees. Symmetry generates all atoms from Nd at (0.0000, 0.0000, 0.0000), Nd at (0.1299, 0.5000, 0.8187), Nd at (0.1933, 0.5000, 0.5852), Al at (0.1072, 0.5000, 0.2564), Ga at (0.0000, 0.0000, 0.5000), Ga at (0.0656, 0.0000, 0.3345) and Ga at (0.1959, 0.5000, 0.1286).

# 9
Below is a geometry-optimized Zr3HgS structure, with properties calculated at the PBE level.

For the formation energy (no corrections), the calculation gives -224 kJ/mol of formula units. For the spin magnetization, the calculation gives 0.0 μB per cell. The energy above the most stable polymorph in this dataset is 0.286 eV/atom.

The space group is Pm-3m (No. 221) and the conventional cell measures 4.8246, 4.8246 and 4.8246 Å, with angles of 90.00, 90.00 and 90.00 degrees. Symmetry generates all atoms from Zr at (0.0000, 0.0000, 0.5000), Hg at (0.5000, 0.5000, 0.5000) and S at (0.0000, 0.0000, 0.0000).

# 10
Below is a geometry-optimized Pr2Si12Pt7 structure, with properties calculated at the PBE level.

For the formation energy (no corrections), the calculation gives -1220 kJ/mol of formula units. For the spin magnetization, the calculation gives 0.0 μB per cell.

The space group is P-3 (No. 147) and the conventional cell measures 10.0222, 10.0222 and 4.0606 Å, with angles of 90.00, 90.00 and 120.00 degrees. Symmetry generates all atoms from Pr at (0.3333, 0.6667, 0.2304), Si at (0.0670, 0.4377, 0.7653), Si at (0.1240, 0.2640, 0.2283), Pt at (0.0000, 0.0000, 0.0000) and Pt at (0.0999, 0.6997, 0.7149).

# 11
Below is a geometry-optimized VTc3W structure, with properties calculated at the PBE level.

For the spin magnetization, the calculation gives 0.6 μB per cell. The calculation puts the formation energy at 1768 meV per atom.

The space group is Pm-3m (No. 221) and the conventional cell measures 4.6713, 4.6713 and 4.6713 Å, with angles of 90.00, 90.00 and 90.00 degrees. Symmetry generates all atoms from V at (0.0000, 0.0000, 0.0000), Tc at (0.0000, 0.5000, 0.5000) and W at (0.5000, 0.5000, 0.5000).

# 12
Below is a geometry-optimized NdPuNb structure, with properties calculated at the PBE level.

For the spin magnetization, the calculation gives 10.4 μB per cell. The calculation puts the formation energy at 355 meV per atom.

The space group is I4mm (No. 107) and the conventional cell measures 3.5946, 3.5946 and 11.8356 Å, with angles of 90.00, 90.00 and 90.00 degrees. Symmetry generates all atoms from Nd at (0.0000, 0.0000, 0.0000), Pu at (0.0000, 0.0000, 0.7030) and Nb at (0.0000, 0.0000, 0.3187).